Entry 1:
# ZrReSb2 (PBEsol, relaxed)
data_ZrReSb2
_symmetry_space_group_name_H-M 'I -4 2 d'
_symmetry_Int_Tables_number 122
_symmetry_space_group_name_Hall 'I -4 2bw'
_cell_length_a 4.217
_cell_length_b 4.217
_cell_length_c 19.428
_cell_angle_alpha 90.00
_cell_angle_beta 90.00
_cell_angle_gamma 90.00
loop_
_atom_site_label
_atom_site_type_symbol
_atom_site_fract_x
_atom_site_fract_y
_atom_site_fract_z
Zr1 Zr 0.000 0.000 0.000
Re1 Re 0.000 0.000 0.500
Sb1 Sb 0.235 0.250 0.625
# Total DFT energy (no corrections) ... -119.813 eV per cell
# E above lowest polymorph ... 193.0 kJ/mol of formula units
# Fermi-level density of states ... 11.810 states/eV/cell
# Formation energy without anion corrections ... 0.396 eV per atom



Entry 2:
# Sc5Re (PBEsol, relaxed)
data_Sc5Re
_symmetry_space_group_name_H-M 'F -4 3 m'
_symmetry_Int_Tables_number 216
_symmetry_space_group_name_Hall 'F -4 2 3'
_cell_length_a 7.867
_cell_length_b 7.867
_cell_length_c 7.867
_cell_angle_alpha 90.00
_cell_angle_beta 90.00
_cell_angle_gamma 90.00
loop_
_atom_site_label
_atom_site_type_symbol
_atom_site_fract_x
_atom_site_fract_y
_atom_site_fract_z
Sc1 Sc 0.000 0.000 0.000
Sc2 Sc 0.123 0.123 0.623
Re1 Re 0.250 0.250 0.250
# Energy of formation ... 550 meV/atom
# Total DFT energy (no corrections) ... -172.232 eV per cell
# E above lowest polymorph ... 334.7 kJ/mol of formula units
# Fermi-level density of states ... 34.908 states/eV/cell